Entry 1:
# Tb8Dy6Tm | Alexandria via LeMat-Bulk | PBE | optimized geometry
data_Tb8Dy6Tm
_chemical_formula_sum 'Tb8 Dy6 Tm1'
_cell_length_a 9.8139
_cell_length_b 9.8139
_cell_length_c 5.7846
_cell_angle_alpha 90.00
_cell_angle_beta 90.00
_cell_angle_gamma 120.00
_space_group_name_H-M_alt 'P -3'
_space_group_IT_number 147
loop_
_space_group_symop_operation_xyz
'x,y,z'
'-x,-y,-z'
'-y,x-y,z'
'y,-x+y,-z'
'-x+y,-x,z'
'x-y,x,-z'
loop_
_atom_site_label
_atom_site_fract_x
_atom_site_fract_y
_atom_site_fract_z
Tb1 0.0912 0.4676 0.2359
Tb2 0.3333 0.6667 0.7262
Dy1 0.0507 0.2741 0.7235
Tm1 0.0000 0.0000 0.0000
# - ΔE to the lowest computed polymorph (meV per atom) = 49
# - formation energy from the elements (eV per formula unit) = 2.601
# - crystal system = trigonal


Entry 2:
# Ca2YPaSb4 | Alexandria via LeMat-Bulk | PBE | optimized geometry
data_Ca2YPaSb4
_chemical_formula_sum 'Ca2 Y1 Pa1 Sb4'
_cell_length_a 7.6683
_cell_length_b 4.4760
_cell_length_c 7.7506
_cell_angle_alpha 90.00
_cell_angle_beta 109.29
_cell_angle_gamma 90.00
_space_group_name_H-M_alt 'P 1 2/m 1'
_space_group_IT_number 10
loop_
_space_group_symop_operation_xyz
'x,y,z'
'-x,-y,-z'
'-x,y,-z'
'x,-y,z'
loop_
_atom_site_label
_atom_site_fract_x
_atom_site_fract_y
_atom_site_fract_z
Ca1 0.0000 0.0000 0.0000
Ca2 0.5000 0.5000 0.0000
Y1 0.0000 0.5000 0.5000
Pa1 0.5000 0.0000 0.5000
Sb1 0.2519 0.0000 0.7361
Sb2 0.2599 0.5000 0.2654
# - raw formation energy (eV per atom) = -0.91
# - crystal system = monoclinic


Entry 3:
# Sm2SeS | Alexandria via LeMat-Bulk | PBE | optimized geometry
data_Sm2SeS
_chemical_formula_sum 'Sm6 Se3 S3'
_cell_length_a 4.0028
_cell_length_b 4.0028
_cell_length_c 21.1419
_cell_angle_alpha 90.00
_cell_angle_beta 90.00
_cell_angle_gamma 120.00
_space_group_name_H-M_alt 'R 3 m'
_space_group_IT_number 160
_space_group_name_Hall 'R 3 -2"'
loop_
_atom_site_label
_atom_site_fract_x
_atom_site_fract_y
_atom_site_fract_z
Sm1 0.0000 0.0000 0.0000
Sm2 0.0000 0.0000 0.1843
Se1 0.0000 0.0000 0.7596
S1 0.0000 0.0000 0.5905
# - ΔE to the lowest computed polymorph (meV per atom) = 9
# - raw formation energy (eV per atom) = -1.92
# - crystal system = trigonal


Entry 4:
# PtPbW4 | Alexandria via LeMat-Bulk | PBE | optimized geometry
data_PtPbW4
_chemical_formula_sum 'Pt4 Pb4 W16'
_cell_length_a 7.5825
_cell_length_b 7.5825
_cell_length_c 7.5825
_cell_angle_alpha 90.00
_cell_angle_beta 90.00
_cell_angle_gamma 90.00
_space_group_name_H-M_alt 'F -4 3 m'
_space_group_IT_number 216
_space_group_name_Hall 'F -4 2 3'
loop_
_atom_site_label
_atom_site_fract_x
_atom_site_fract_y
_atom_site_fract_z
Pt1 0.0000 0.0000 0.0000
Pb1 0.2500 0.2500 0.2500
W1 0.1254 0.1254 0.6254
# - formation energy from the elements (eV per formula unit) = 4.389
# - crystal system = cubic


Entry 5:
# La2PrNd4Sm | Alexandria via LeMat-Bulk | PBE | optimized geometry
data_La2PrNd4Sm
_chemical_formula_sum 'La2 Pr1 Nd4 Sm1'
_cell_length_a 6.3830
_cell_length_b 3.7033
_cell_length_c 12.2962
_cell_angle_alpha 90.00
_cell_angle_beta 100.31
_cell_angle_gamma 90.00
_space_group_name_H-M_alt 'P 1 2/m 1'
_space_group_IT_number 10
loop_
_space_group_symop_operation_xyz
'x,y,z'
'-x,-y,-z'
'-x,y,-z'
'x,-y,z'
loop_
_atom_site_label
_atom_site_fract_x
_atom_site_fract_y
_atom_site_fract_z
La1 0.0000 0.0000 0.0000
La2 0.0000 0.5000 0.5000
Pr1 0.5000 0.0000 0.5000
Nd1 0.2497 0.5000 0.2496
Nd2 0.2511 0.0000 0.7517
Sm1 0.5000 0.5000 0.0000
# - formation energy from the elements (eV per formula unit) = 0.132
# - crystal system = monoclinic


Entry 6:
# LiZnGa2H | Alexandria via LeMat-Bulk | PBE | optimized geometry
data_LiZnGa2H
_chemical_formula_sum 'Li1 Zn1 Ga2 H1'
_cell_length_a 4.2414
_cell_length_b 4.2414
_cell_length_c 3.8731
_cell_angle_alpha 90.00
_cell_angle_beta 90.00
_cell_angle_gamma 90.00
_space_group_name_H-M_alt 'P 4/m m m'
_space_group_IT_number 123
_space_group_name_Hall '-P 4 2'
loop_
_atom_site_label
_atom_site_fract_x
_atom_site_fract_y
_atom_site_fract_z
Li1 0.0000 0.0000 0.0000
Zn1 0.5000 0.5000 0.0000
Ga1 0.0000 0.5000 0.5000
H1 0.0000 0.0000 0.5000
# - DFT total energy (eV per atom) = -2.51
# - crystal system = tetragonal


Entry 7:
# K2CrRe | Alexandria via LeMat-Bulk | PBE | optimized geometry
data_K2CrRe
_chemical_formula_sum 'K8 Cr4 Re4'
_cell_length_a 12.6656
_cell_length_b 12.6656
_cell_length_c 4.3123
_cell_angle_alpha 90.00
_cell_angle_beta 90.00
_cell_angle_gamma 90.00
_space_group_name_H-M_alt 'I -4 2 d'
_space_group_IT_number 122
_space_group_name_Hall 'I -4 2bw'
loop_
_atom_site_label
_atom_site_fract_x
_atom_site_fract_y
_atom_site_fract_z
K1 0.0738 0.2500 0.1250
Cr1 0.0000 0.0000 0.0000
Re1 0.0000 0.0000 0.5000
# - ΔE to the lowest computed polymorph (meV per atom) = 843
# - formation energy from the elements (eV per formula unit) = 6.819
# - crystal system = tetragonal


Entry 8:
# PuHf2Sc | Alexandria via LeMat-Bulk | PBE | optimized geometry
data_PuHf2Sc
_chemical_formula_sum 'Pu1 Hf2 Sc1'
_cell_length_a 3.7291
_cell_length_b 3.7291
_cell_length_c 6.6242
_cell_angle_alpha 90.00
_cell_angle_beta 90.00
_cell_angle_gamma 90.00
_space_group_name_H-M_alt 'P 4/m m m'
_space_group_IT_number 123
_space_group_name_Hall '-P 4 2'
loop_
_atom_site_label
_atom_site_fract_x
_atom_site_fract_y
_atom_site_fract_z
Pu1 0.0000 0.0000 0.0000
Hf1 0.5000 0.5000 0.2362
Sc1 0.0000 0.0000 0.5000
# - ΔE to the lowest computed polymorph (meV per atom) = 133
# - formation energy from the elements (eV per formula unit) = 0.840
# - crystal system = tetragonal


Entry 9:
# Tm4AgPd5 | Alexandria via LeMat-Bulk | PBE | optimized geometry
data_Tm4AgPd5
_chemical_formula_sum 'Tm4 Ag1 Pd5'
_cell_length_a 3.4630
_cell_length_b 3.4630
_cell_length_c 16.5247
_cell_angle_alpha 90.00
_cell_angle_beta 90.00
_cell_angle_gamma 90.00
_space_group_name_H-M_alt 'P 4/m m m'
_space_group_IT_number 123
_space_group_name_Hall '-P 4 2'
loop_
_atom_site_label
_atom_site_fract_x
_atom_site_fract_y
_atom_site_fract_z
Tm1 0.0000 0.0000 0.1050
Tm2 0.0000 0.0000 0.3164
Ag1 0.0000 0.0000 0.5000
Pd1 0.5000 0.5000 0.0000
Pd2 0.5000 0.5000 0.2112
Pd3 0.5000 0.5000 0.4081
# - formation energy from the elements (eV per formula unit) = -8.183
# - crystal system = tetragonal


Entry 10:
# TlAsIO6 | Alexandria via LeMat-Bulk | PBE | optimized geometry
data_TlAsIO6
_chemical_formula_sum 'Tl1 As1 I1 O6'
_cell_length_a 5.2295
_cell_length_b 5.2295
_cell_length_c 6.4085
_cell_angle_alpha 90.00
_cell_angle_beta 90.00
_cell_angle_gamma 120.00
_space_group_name_H-M_alt 'P 3 1 2'
_space_group_IT_number 149
loop_
_space_group_symop_operation_xyz
'x,y,z'
'-y,x-y,z'
'-x+y,-x,z'
'-y,-x,-z'
'-x+y,y,-z'
'x,x-y,-z'
loop_
_atom_site_label
_atom_site_fract_x
_atom_site_fract_y
_atom_site_fract_z
Tl1 0.0000 0.0000 0.0000
As1 0.3333 0.6667 0.5000
I1 0.6667 0.3333 0.5000
O1 0.0219 0.3980 0.6719
# - raw formation energy (eV per atom) = -0.63
# - crystal system = trigonal


Entry 11:
# Nd6AlNi2 | Alexandria via LeMat-Bulk | PBE | optimized geometry
data_Nd6AlNi2
_chemical_formula_sum 'Nd24 Al4 Ni8'
_cell_length_a 9.4047
_cell_length_b 10.1188
_cell_length_c 10.4344
_cell_angle_alpha 90.00
_cell_angle_beta 90.00
_cell_angle_gamma 90.00
_space_group_name_H-M_alt 'I m m m'
_space_group_IT_number 71
_space_group_name_Hall '-I 2 2'
loop_
_atom_site_label
_atom_site_fract_x
_atom_site_fract_y
_atom_site_fract_z
Nd1 0.0000 0.1902 0.2377
Nd2 0.1868 0.5000 0.1699
Nd3 0.2109 0.3237 0.5000
Al1 0.0000 0.0000 0.0000
Al2 0.0000 0.0000 0.5000
Ni1 0.0000 0.2952 0.0000
Ni2 0.0000 0.5000 0.3758
# - formation energy from the elements (eV per formula unit) = -2.015
# - crystal system = orthorhombic


Entry 12:
# NaLu2Fe | Alexandria via LeMat-Bulk | PBE | optimized geometry
data_NaLu2Fe
_chemical_formula_sum 'Na1 Lu2 Fe1'
_cell_length_a 3.2588
_cell_length_b 3.2588
_cell_length_c 9.2748
_cell_angle_alpha 90.00
_cell_angle_beta 90.00
_cell_angle_gamma 90.00
_space_group_name_H-M_alt 'P 4/m m m'
_space_group_IT_number 123
_space_group_name_Hall '-P 4 2'
loop_
_atom_site_label
_atom_site_fract_x
_atom_site_fract_y
_atom_site_fract_z
Na1 0.0000 0.0000 0.0000
Lu1 0.5000 0.5000 0.3315
Fe1 0.0000 0.0000 0.5000
# - formation energy from the elements (eV per formula unit) = 0.101
# - crystal system = tetragonal